DFT (PBE+U) results for a relaxed LiFePO4 crystal.

a b c (Å): 10.5784 10.5784 12.7647
angles (deg): 90.00 90.00 120.00
Space group P6_422 (No. 181)
Asymmetric unit:
Li 0.0000 0.0000 0.0000 [3 per cell]
Li 0.0000 0.5000 0.1586 [6 per cell]
Li 0.0000 0.5000 0.8333 [3 per cell]
Fe 0.0000 0.2520 0.3333 [6 per cell]
Fe 0.2472 0.4944 0.0000 [6 per cell]
P 0.0000 0.2416 0.8333 [6 per cell]
P 0.2474 0.4947 0.5000 [6 per cell]
O 0.0630 0.1868 0.7463 [12 per cell]
O 0.1018 0.4023 0.4398 [12 per cell]
O 0.1150 0.3926 0.8795 [12 per cell]
O 0.2049 0.5828 0.5743 [12 per cell]

## Properties
Total DFT energy (no corrections) = -568.28 eV per cell
Magnetization = 48.00 μB per cell
Relative energy among the computed polymorphs = 67.3 meV per atom